[1]
PBE La2Nd2Th, optimized geometry; energy of formation = 70 meV/atom; SG = Cmmm; offset from the most stable computed form = 56.3 meV per atom; electronic total energy = -26.46 eV per formula unit
1.0
5.466 0.000 0.000
0.000 17.821 0.000
0.000 0.000 3.587
La Nd Th
4 4 2
Direct
0.000 0.195 0.000
0.000 0.805 0.000
0.500 0.305 0.000
0.500 0.695 0.000
0.000 0.403 0.500
0.000 0.597 0.500
0.500 0.097 0.500
0.500 0.903 0.500
0.000 0.000 0.000
0.500 0.500 0.000

[2]
PBE Hf3Si3Ir, optimized geometry; SG = C2/m; electronic total energy = -61.29 eV per formula unit
1.0
5.024 -1.964 0.000
5.024 1.964 0.000
-4.441 0.000 11.936
Hf Si Ir
6 6 2
Direct
0.014 0.014 0.372
0.108 0.108 0.921
0.242 0.242 0.223
0.758 0.758 0.777
0.892 0.892 0.079
0.986 0.986 0.628
0.377 0.377 0.450
0.385 0.385 0.926
0.470 0.470 0.768
0.530 0.530 0.232
0.615 0.615 0.074
0.623 0.623 0.550
0.263 0.263 0.593
0.737 0.737 0.407

[3]
PBE Mn2Au3, optimized geometry; energy of formation = -21 meV/atom; SG = C2/m; offset from the most stable computed form = 39.0 meV per atom; electronic total energy = -28.28 eV per formula unit
1.0
8.916 0.000 0.000
0.000 4.050 0.000
-4.251 0.000 4.665
Mn Au
4 6
Direct
0.090 0.000 0.296
0.410 0.500 0.704
0.590 0.500 0.296
0.910 0.000 0.704
0.000 0.500 0.500
0.200 0.500 0.116
0.300 0.000 0.884
0.500 0.000 0.500
0.700 0.000 0.116
0.800 0.500 0.884

[4]
PBE SrAlAsSe2, optimized geometry; SG = P4/mmm; offset from the most stable computed form = 0.0 meV per atom; electronic total energy = -20.39 eV per formula unit
1.0
5.153 0.000 0.000
0.000 5.153 0.000
0.000 0.000 4.771
Sr Al As Se
1 1 1 2
Direct
0.000 0.000 0.000
0.500 0.500 0.500
0.500 0.500 0.000
0.000 0.500 0.500
0.500 0.000 0.500

[5]
PBE Ce2Zn2Ir, optimized geometry; energy of formation = -438 meV/atom; SG = C2/m; electronic total energy = -25.47 eV per formula unit
1.0
5.389 -1.960 0.000
5.389 1.960 0.000
-3.800 0.000 10.457
Ce Zn Ir
4 4 2
Direct
0.001 0.001 0.337
0.197 0.197 0.122
0.803 0.803 0.878
0.999 0.999 0.663
0.327 0.327 0.453
0.472 0.472 0.106
0.528 0.528 0.894
0.673 0.673 0.547
0.305 0.305 0.695
0.695 0.695 0.305

[6]
PBE CeSmDy2Se6, optimized geometry; SG = R3; electronic total energy = -58.98 eV per formula unit
1.0
3.668 2.117 6.524
-3.668 2.117 6.524
0.000 -4.235 6.524
Ce Sm Dy Se
1 1 2 6
Direct
0.000 0.000 0.000
0.498 0.498 0.498
0.299 0.299 0.299
0.800 0.800 0.800
0.086 0.685 0.416
0.192 0.586 0.908
0.416 0.086 0.685
0.586 0.908 0.192
0.685 0.416 0.086
0.908 0.192 0.586

no.,calculated volume (Å³/atom)
1,34.94
2,16.83
3,16.85
4,25.34
5,22.09
6,30.40